A.
Below is a PBEsol-optimized structure of ScBePd3, with properties calculated at the SCAN level.

abc: 4.6266 4.6266 4.6266
angles: 90.00 90.00 90.00
Closest atoms and distances in Å follow each position.
Space group Pm-3m (No. 221)
Symmetry-distinct sites (fractional):
Sc1 0.0000 0.0000 0.0000 (multiplicity 1)  6 Pd 2.31
Be1 0.5000 0.5000 0.5000 (multiplicity 1)  12 Pd 3.27
Pd1 0.0000 0.0000 0.5000 (multiplicity 3)  2 Sc 2.31

Calculated values
- density (g/cm³) = 6.26
- density of states at the Fermi level (states/eV/cell) = 1.38

---

B.
Below is a PBEsol-optimized structure of ScBePd3, with properties calculated at the SCAN level.

abc: 4.2087 4.2087 4.2087
angles: 90.00 90.00 90.00
Closest atoms and distances in Å follow each position.
Space group Pm-3m (No. 221)
Symmetry-distinct sites (fractional):
Sc1 0.0000 0.0000 0.0000 (multiplicity 1)  12 Pd 2.98
Be1 0.5000 0.5000 0.5000 (multiplicity 1)  6 Pd 2.10
Pd1 0.0000 0.5000 0.5000 (multiplicity 3)  2 Be 2.10

Calculated values
- density (g/cm³) = 8.31
- density of states at the Fermi level (states/eV/cell) = 4.04

---

What should be chosen as the most stable of them? Choose B.

---

A.
Below is a PBEsol-optimized structure of YBePd3, with properties calculated at the SCAN level.

abc: 4.8730 4.8730 4.8730
angles: 90.00 90.00 90.00
Closest atoms and distances in Å follow each position.
Space group Pm-3m (No. 221)
Symmetry-distinct sites (fractional):
Y1 0.0000 0.0000 0.0000 (multiplicity 1)  6 Pd 2.44
Be1 0.5000 0.5000 0.5000 (multiplicity 1)  12 Pd 3.45
Pd1 0.0000 0.0000 0.5000 (multiplicity 3)  2 Y 2.44

Calculated values
- density (g/cm³) = 5.99
- density of states at the Fermi level (states/eV/cell) = 1.55

---

B.
Below is a PBEsol-optimized structure of YBePd3, with properties calculated at the SCAN level.

abc: 4.2990 4.2990 4.2990
angles: 90.00 90.00 90.00
Closest atoms and distances in Å follow each position.
Space group Pm-3m (No. 221)
Symmetry-distinct sites (fractional):
Y1 0.0000 0.0000 0.0000 (multiplicity 1)  12 Pd 3.04
Be1 0.5000 0.5000 0.5000 (multiplicity 1)  6 Pd 2.15
Pd1 0.0000 0.5000 0.5000 (multiplicity 3)  2 Be 2.15

Calculated values
- density (g/cm³) = 8.72
- density of states at the Fermi level (states/eV/cell) = 3.27

---

What should be chosen as the most stable of them? Choose B.

---

A.
Below is a PBEsol-optimized structure of Be2ZnPd2, with properties calculated at the SCAN level.

abc: 6.4836 6.4836 2.7527
angles: 90.00 90.00 90.00
Closest atoms and distances in Å follow each position.
Space group P4/mbm (No. 127)
Symmetry-distinct sites (fractional):
Be1 0.1253 0.3747 0.0000 (multiplicity 4)  1 Be 2.30, 6 Pd 2.34-2.36, 2 Zn 2.56
Zn1 0.0000 0.0000 0.0000 (multiplicity 2)  4 Be 2.56, 2 Zn 2.75, 8 Pd 2.78
Pd1 0.1681 0.6681 0.5000 (multiplicity 4)  6 Be 2.34-2.36

Calculated values
- density (g/cm³) = 8.50
- density of states at the Fermi level (states/eV/cell) = 2.97

---

B.
Below is a PBEsol-optimized structure of Be2ZnPd2, with properties calculated at the SCAN level.

abc: 3.0539 3.0539 13.0011
angles: 90.00 90.00 90.00
Closest atoms and distances in Å follow each position.
Space group I4/mmm (No. 139)
Symmetry-distinct sites (fractional):
Be1 0.0000 0.5000 0.2500 (multiplicity 4)  4 Be 2.16, 4 Pd 2.34
Zn1 0.0000 0.0000 0.0000 (multiplicity 2)  8 Pd 2.61
Pd1 0.0000 0.0000 0.3867 (multiplicity 4)  4 Be 2.34, 4 Zn 2.61

Calculated values
- density (g/cm³) = 8.11
- density of states at the Fermi level (states/eV/cell) = 4.02

---

What should be chosen as the most stable of them? Choose A.

---

A.
Below is a PBEsol-optimized structure of BeZnPd2, with properties calculated at the SCAN level.

abc: 6.3772 6.3772 5.2677
angles: 90.00 90.00 90.00
Closest atoms and distances in Å follow each position.
Space group I-42d (No. 122)
Symmetry-distinct sites (fractional):
Be1 0.0000 0.0000 0.0000 (multiplicity 4)  4 Pd 2.16
Zn1 0.0000 0.0000 0.5000 (multiplicity 4)  8 Pd 2.56-2.85, 2 Be 2.63
Pd1 0.2036 0.2500 0.1250 (multiplicity 8)  2 Be 2.16

Calculated values
- density (g/cm³) = 8.91
- density of states at the Fermi level (states/eV/cell) = 3.47

---

B.
Below is a PBEsol-optimized structure of BeZnPd2, with properties calculated at the SCAN level.

abc: 5.8417 5.8417 5.8417
angles: 90.00 90.00 90.00
Closest atoms and distances in Å follow each position.
Space group Fm-3m (No. 225)
Symmetry-distinct sites (fractional):
Be1 0.0000 0.0000 0.0000 (multiplicity 4)  8 Pd 2.53
Zn1 0.0000 0.0000 0.5000 (multiplicity 4)  8 Pd 2.53
Pd1 0.2500 0.2500 0.2500 (multiplicity 8)  4 Be 2.53, 4 Zn 2.53

Calculated values
- density (g/cm³) = 9.57
- density of states at the Fermi level (states/eV/cell) = 7.44

---

What should be chosen as the most stable of them? Choose B.

---

A.
Below is a PBEsol-optimized structure of ScBePt2, with properties calculated at the SCAN level.

abc: 2.8503 2.8503 6.8411
angles: 90.00 90.00 90.00
Closest atoms and distances in Å follow each position.
Space group P4/mmm (No. 123)
Symmetry-distinct sites (fractional):
Sc1 0.0000 0.0000 0.0000 (multiplicity 1)  8 Pt 2.84, 4 Sc 2.85
Be1 0.0000 0.0000 0.5000 (multiplicity 1)  8 Pt 2.47
Pt1 0.5000 0.5000 0.2923 (multiplicity 2)  4 Be 2.47

Calculated values
- density (g/cm³) = 13.27
- density of states at the Fermi level (states/eV/cell) = 1.28

---

B.
Below is a PBEsol-optimized structure of ScBePt2, with properties calculated at the SCAN level.

abc: 6.1463 6.1463 6.1463
angles: 90.00 90.00 90.00
Closest atoms and distances in Å follow each position.
Space group Fm-3m (No. 225)
Symmetry-distinct sites (fractional):
Sc1 0.0000 0.0000 0.0000 (multiplicity 4)  8 Pt 2.66
Be1 0.0000 0.0000 0.5000 (multiplicity 4)  8 Pt 2.66
Pt1 0.2500 0.2500 0.2500 (multiplicity 8)  4 Sc 2.66, 4 Be 2.66

Calculated values
- density (g/cm³) = 12.70
- density of states at the Fermi level (states/eV/cell) = 8.65

---

What should be chosen as the most stable of them? Choose A.

---

A.
Below is a PBEsol-optimized structure of ScBePt, with properties calculated at the SCAN level.

abc: 3.9575 3.9575 3.3991
angles: 90.00 90.00 120.00
Closest atoms and distances in Å follow each position.
Space group P-6m2 (No. 187)
Symmetry-distinct sites (fractional):
Sc1 0.0000 0.0000 0.0000 (multiplicity 1)  6 Be 2.85, 6 Pt 2.85
Be1 0.3333 0.6667 0.5000 (multiplicity 1)  3 Pt 2.28
Pt1 0.6667 0.3333 0.5000 (multiplicity 1)  3 Be 2.28

Calculated values
- density (g/cm³) = 8.97
- density of states at the Fermi level (states/eV/cell) = 1.64

---

B.
Below is a PBEsol-optimized structure of ScBePt, with properties calculated at the SCAN level.

abc: 5.9892 5.9892 5.9892
angles: 90.00 90.00 90.00
Closest atoms and distances in Å follow each position.
Space group F-43m (No. 216)
Symmetry-distinct sites (fractional):
Sc1 0.0000 0.0000 0.0000 (multiplicity 4)  4 Pt 2.59, 4 Be 2.59
Be1 0.2500 0.2500 0.2500 (multiplicity 4)  4 Sc 2.59
Pt1 0.2500 0.2500 0.7500 (multiplicity 4)  4 Sc 2.59

Calculated values
- density (g/cm³) = 7.70
- density of states at the Fermi level (states/eV/cell) = 9.80

---

What should be chosen as the most stable of them? Choose A.